Record 1
The following is a DFT calculation (PBE) of a geometry-optimized Tl2SeS structure.

Results
Uncorrected formation energy ... -0.54 eV per formula unit
Space group ... I-42d
Density of states at the Fermi level ... 3.4 states/eV/f.u.
Electronic total energy ... -12.89 eV/f.u.
Total magnetization ... 0.00 μB per formula unit

Unit cell a=6.5769 b=6.5769 c=8.0982 alpha=66.04 beta=66.04 gamma=90.00
With the nearest neighbours (Å) after each atom.
Sites, in units of the cell vectors:
Tl (0.6117, 0.1250, 0.2500)  2 S 2.81, 2 Se 2.91
Tl (0.1383, 0.6250, 0.2500)  2 S 2.81, 2 Se 2.91
Tl (0.3750, 0.3883, 0.7500)  2 S 2.81, 2 Se 2.91
Tl (0.8750, 0.8617, 0.7500)  2 S 2.81, 2 Se 2.91
S (0.5000, 0.5000, 0.0000)  4 Tl 2.81
S (0.2500, 0.7500, 0.5000)  4 Tl 2.81
Se (0.0000, 0.0000, 0.0000)  4 Tl 2.91
Se (0.7500, 0.2500, 0.5000)  4 Tl 2.91

Record 2
The following is a DFT calculation (PBE) of a geometry-optimized SrLaY2Ru structure.

Results
Space group ... P4/mmm
Density of states at the Fermi level ... 4.9 states/eV/f.u.
Electronic total energy ... -29.52 eV/f.u.
Total magnetization ... 0.00 μB per formula unit

Unit cell a=5.5859 b=5.5859 c=5.5423 alpha=90.00 beta=90.00 gamma=90.00
With the nearest neighbours (Å) after each atom.
Sites, in units of the cell vectors:
Y (0.0000, 0.5000, 0.0000)  2 Ru 2.79
Y (0.5000, 0.0000, 0.0000)  2 Ru 2.79
Ru (0.0000, 0.0000, 0.0000)  2 La 2.77, 4 Y 2.79
Sr (0.5000, 0.5000, 0.5000)  8 Y 3.93, 4 La 3.95
La (0.0000, 0.0000, 0.5000)  2 Ru 2.77

Record 3
The following is a DFT calculation (PBE) of a geometry-optimized Ce2NdBrO4 structure.

Results
Uncorrected formation energy ... -24.92 eV per formula unit
Space group ... P4/mmm
Density of states at the Fermi level ... 11.2 states/eV/f.u.
Electronic total energy ... -63.06 eV/f.u.
Total magnetization ... 2.01 μB per formula unit

Unit cell a=4.0446 b=4.0446 c=9.2036 alpha=90.00 beta=90.00 gamma=90.00
With the nearest neighbours (Å) after each atom.
Sites, in units of the cell vectors:
Ce (0.5000, 0.5000, 0.2685)  4 O 2.26
Ce (0.5000, 0.5000, 0.7315)  4 O 2.26
Nd (0.0000, 0.0000, 0.0000)  8 O 2.50
Br (0.0000, 0.0000, 0.5000)  8 Ce 3.57, 8 O 3.73
O (0.0000, 0.5000, 0.1590)  2 Ce 2.26, 2 Nd 2.50
O (0.5000, 0.0000, 0.8410)  2 Ce 2.26, 2 Nd 2.50
O (0.5000, 0.0000, 0.1590)  2 Ce 2.26, 2 Nd 2.50
O (0.0000, 0.5000, 0.8410)  2 Ce 2.26, 2 Nd 2.50

Record 4
The following is a DFT calculation (PBE) of a geometry-optimized CrSn3Hg structure.

Results
Space group ... Pm-3m
Density of states at the Fermi level ... 0.0 states/eV/f.u.
Electronic total energy ... -21.20 eV/f.u.
Total magnetization ... 0.00 μB per formula unit

Unit cell a=5.0789 b=5.0789 c=5.0789 alpha=90.00 beta=90.00 gamma=90.00
With the nearest neighbours (Å) after each atom.
Sites, in units of the cell vectors:
Cr (0.0000, 0.0000, 0.0000)  6 Sn 2.54
Hg (0.5000, 0.5000, 0.5000)  12 Sn 3.59
Sn (0.0000, 0.5000, 0.0000)  2 Cr 2.54
Sn (0.0000, 0.0000, 0.5000)  2 Cr 2.54
Sn (0.5000, 0.0000, 0.0000)  2 Cr 2.54

> Which formula does entry 4 have?

CrSn3Hg

> electronic total energy of number 2 (SrLaY2Ru)?

-29.52 eV/f.u.